DFT (GGA-PBE) results for BaMnGaTe2 after structural relaxation.

## Properties
Calculated volume, Å³ per cell: 148.8
Raw formation energy, meV/atom: -593

a b c (Å): 5.563 5.563 4.810
angles (deg): 90.00 90.00 90.00
Each line ends with the local moment (μB).
Fractional positions:
Mn 0.000 0.000 0.000  3.34
Te 0.000 0.500 0.000  0.03
Te 0.500 0.000 0.000  0.03
Ba 0.500 0.500 0.500  0.01
Ga 0.000 0.000 0.500  -0.08